# SiOs3

SiOs3 after structural relaxation (PBE, Alexandria via LeMat-Bulk).

Cell and atoms, written as POSCAR:
```
SiOs3
1.0
-2.465 -3.147 -2.948
4.959 -0.146 -0.246
-1.979 0.869 4.472
Os Si
3 1
direct
0.500 0.000 0.500 Os
0.000 0.000 0.000 Os
0.000 0.500 0.500 Os
0.500 0.500 0.000 Si
```

Summary:
formation energy from raw total energies	56.9	kJ per mole of atoms
total magnetic moment	0.00	μB/cell

=====

# SiOs2

SiOs2 after structural relaxation (PBE, Alexandria via LeMat-Bulk).

Cell and atoms, written as POSCAR:
```
SiOs2
1.0
-2.510 5.107 -1.712
-0.355 -4.278 4.109
2.485 1.986 2.282
Si Os
2 4
direct
0.100 0.900 0.250 Si
0.900 0.100 0.750 Si
0.427 0.573 0.250 Os
0.573 0.427 0.750 Os
0.232 0.768 0.750 Os
0.768 0.232 0.250 Os
```

Summary:
formation energy from raw total energies	17.3	kJ per mole of atoms
total magnetic moment	0.00	μB/cell

=====

# SiOs2

SiOs2 after structural relaxation (PBE, Alexandria via LeMat-Bulk).

Cell and atoms, written as POSCAR:
```
SiOs2
1.0
4.423 0.000 -0.001
0.000 2.865 0.000
-1.223 0.000 6.479
Os Si
4 2
direct
0.465 0.500 0.590 Os
0.135 0.000 0.279 Os
0.983 0.000 0.671 Os
0.567 0.000 0.965 Os
0.085 0.500 0.970 Si
0.688 0.500 0.290 Si
```

Summary:
formation energy from raw total energies	-12.2	kJ per mole of atoms
total magnetic moment	0.00	μB/cell

=====

# SiOs

SiOs after structural relaxation (PBE, Alexandria via LeMat-Bulk).

Cell and atoms, written as POSCAR:
```
SiOs
1.0
4.315 0.000 0.000
2.157 3.737 0.000
2.157 1.246 3.523
Si Os
2 2
direct
0.250 0.250 0.250 Si
0.500 0.500 0.500 Si
0.750 0.750 0.750 Os
0.000 0.000 0.000 Os
```

Summary:
formation energy from raw total energies	45.4	kJ per mole of atoms
total magnetic moment	0.49	μB/cell

=====

# SiOs

SiOs after structural relaxation (PBE, Alexandria via LeMat-Bulk).

Cell and atoms, written as POSCAR:
```
SiOs
1.0
7.362 0.000 0.000
0.000 4.395 0.000
0.000 0.000 5.440
Os Si
6 6
direct
0.500 0.381 0.921 Os
0.710 0.091 0.430 Os
0.790 0.909 0.930 Os
0.290 0.091 0.430 Os
0.210 0.909 0.930 Os
0.000 0.619 0.421 Os
0.320 0.588 0.261 Si
0.500 0.840 0.699 Si
0.180 0.412 0.761 Si
0.680 0.588 0.261 Si
0.000 0.160 0.199 Si
0.820 0.412 0.761 Si
```

Summary:
formation energy from raw total energies	-2.7	kJ per mole of atoms
total magnetic moment	0.00	μB/cell

=====

# SiOs3

SiOs3 after structural relaxation (PBE, Alexandria via LeMat-Bulk).

Cell and atoms, written as POSCAR:
```
SiOs3
1.0
4.696 -0.006 0.000
1.624 4.406 0.000
-3.160 -2.200 2.688
Os Si
3 1
direct
0.250 0.750 0.500 Os
0.750 0.250 0.500 Os
0.500 0.500 0.000 Os
0.000 0.000 0.000 Si
```

Summary:
formation energy from raw total energies	16.9	kJ per mole of atoms
total magnetic moment	0.00	μB/cell

=====

# SiOs

SiOs after structural relaxation (PBE, Alexandria via LeMat-Bulk).

Cell and atoms, written as POSCAR:
```
SiOs
1.0
7.947 -0.007 -0.004
7.431 2.817 -0.004
7.431 1.358 2.468
Si Os
2 2
direct
0.750 0.750 0.750 Si
0.500 0.500 0.500 Si
0.006 0.006 0.006 Os
0.244 0.244 0.244 Os
```

Summary:
formation energy from raw total energies	4.2	kJ per mole of atoms
total magnetic moment	0.00	μB/cell

=====

# SiOs

SiOs after structural relaxation (PBE, Alexandria via LeMat-Bulk).

Cell and atoms, written as POSCAR:
```
SiOs
1.0
5.954 0.000 0.000
0.000 5.954 0.000
0.000 0.000 4.300
Si Os
4 4
direct
0.272 0.272 0.500 Si
0.728 0.728 0.500 Si
0.228 0.772 0.000 Si
0.772 0.228 0.000 Si
0.341 0.659 0.500 Os
0.841 0.841 0.000 Os
0.659 0.341 0.500 Os
0.159 0.159 0.000 Os
```

Summary:
formation energy from raw total energies	56.2	kJ per mole of atoms
total magnetic moment	0.00	μB/cell